Record 1
## Sr2CoSi (GGA-PBE)

Data for an optimized crystal structure of Sr2CoSi.

abc: 8.403 5.337 3.750
angles: 90.08 63.38 129.04
Last column: magnetic moment on the atom in μB.
Fractional positions:
1 Co 0.000 0.500 0.500  1.67
2 Si 0.500 0.500 0.000  0.02
3 Sr 0.000 0.000 0.000  -0.03
4 Sr 0.500 0.000 0.500  -0.03

## Properties
V ... 107 Å³/f.u.
Total magnetization ... 1.6 μB per formula unit
Total DFT energy (no corrections) ... -3.7309 eV/atom
Formation energy (no corrections) ... 0.969 eV per formula unit


Record 2
## Sr2CoSiTc (GGA-PBE)

Data for an optimized crystal structure of Sr2CoSiTc.

abc: 5.584 4.335 5.584
angles: 90.00 90.00 90.00
Last column: magnetic moment on the atom in μB.
Fractional positions:
1 Sr 0.000 0.000 0.500  -0.03
2 Sr 0.500 0.000 0.000  -0.02
3 Si 0.000 0.500 0.000  -0.01
4 Co 0.000 0.000 0.000  0.14
5 Tc 0.500 0.500 0.500  2.86

## Properties
V ... 135 Å³/f.u.
Total magnetization ... 3.2 μB per formula unit
Total DFT energy (no corrections) ... -4.5428 eV/atom
Formation energy (no corrections) ... 3.545 eV per formula unit


Record 3
## SrZrCo2Si (GGA-PBE)

Data for an optimized crystal structure of SrZrCo2Si.

abc: 4.581 5.936 4.581
angles: 90.00 90.00 90.00
Last column: magnetic moment on the atom in μB.
Fractional positions:
1 Sr 0.000 0.500 0.000  -0.01
2 Si 0.500 0.500 0.500  0.04
3 Co 0.000 0.000 0.500  0.94
4 Co 0.500 0.000 0.000  0.62
5 Zr 0.000 0.000 0.000  -0.27

## Properties
V ... 125 Å³/f.u.
Total magnetization ... 1.3 μB per formula unit
Total DFT energy (no corrections) ... -4.6232 eV/atom
Formation energy (no corrections) ... 6.749 eV per formula unit


Record 4
## Ta3CoSi (GGA-PBE)

Data for an optimized crystal structure of Ta3CoSi.

abc: 4.542 4.542 4.542
angles: 90.00 90.00 90.00
Fractional positions:
1 Si 0.500 0.500 0.500
2 Co 0.000 0.000 0.000
3 Ta 0.000 0.500 0.000
4 Ta 0.000 0.000 0.500
5 Ta 0.500 0.000 0.000

## Properties
V ... 94 Å³/f.u.
Total magnetization ... 0.0 μB per formula unit
Total DFT energy (no corrections) ... -8.8826 eV/atom
Formation energy (no corrections) ... 3.674 eV per formula unit


Record 5
## TaCo2Si (GGA-PBE)

Data for an optimized crystal structure of TaCo2Si.

abc: 2.872 3.545 5.094
angles: 90.00 90.00 90.00
Fractional positions:
1 Co 0.000 0.000 0.988
2 Co 0.500 0.500 0.289
3 Si 0.000 0.000 0.447
4 Ta 0.500 0.500 0.776

## Properties
V ... 52 Å³/f.u.
Total magnetization ... 0.0 μB per formula unit
Total DFT energy (no corrections) ... -8.0923 eV/atom
Formation energy (no corrections) ... -0.882 eV per formula unit


Record 6
## Ta2CoSi (GGA-PBE)

Data for an optimized crystal structure of Ta2CoSi.

abc: 8.784 8.784 8.784
angles: 18.80 18.80 18.80
Last column: magnetic moment on the atom in μB.
Fractional positions:
1 Co 0.250 0.250 0.250  0.81
2 Si 0.750 0.750 0.750  0.01
3 Ta 0.998 0.998 0.998  0.04
4 Ta 0.502 0.502 0.502  0.04

## Properties
V ... 61 Å³/f.u.
Total magnetization ... 0.9 μB per formula unit
Total DFT energy (no corrections) ... -8.9829 eV/atom
Formation energy (no corrections) ... 0.303 eV per formula unit